# LiPdBr | Alexandria via LeMat-Bulk | PBE-GGA | optimized geometry
data_LiPdBr
_space_group_name_H-M_alt 'P n m a'
_space_group_IT_number 62
_space_group_name_Hall '-P 2ac 2n'
_cell_length_a 8.0615
_cell_length_b 3.5970
_cell_length_c 8.1950
_cell_angle_alpha 90.00
_cell_angle_beta 90.00
_cell_angle_gamma 90.00
loop_
_atom_site_label
_atom_site_type_symbol
_atom_site_fract_x
_atom_site_fract_y
_atom_site_fract_z
Li1 Li 0.1167 0.2500 0.2435
Pd1 Pd 0.1267 0.7500 0.9761
Br1 Br 0.1434 0.2500 0.7030
# Raw formation energy   -516 meV/atom
# Volume   238 Å³ per cell
# Energy relative to the lowest polymorph listed for this composition   123 meV/atom